# 1
Cs3InCu (PBE, relaxed); DFT total energy = -1.552 eV per atom; calculated formation energy = 327.3 meV per atom; energy above the lowest structure with this stoichiometry = 0 kJ/mol of formula units; volume = 63.535 A^3/atom
1.0
6.823 0.000 0.000
0.000 6.823 0.000
0.000 0.000 6.823
Cs In Cu
3 1 1
direct
0.000 0.000 0.500
0.000 0.500 0.000
0.500 0.000 0.000
0.500 0.500 0.500
0.000 0.000 0.000



# 2
CsIn2Cu2 (PBE, relaxed); DFT total energy = -2.619 eV per atom; calculated formation energy = 285.4 meV per atom; energy above the lowest structure with this stoichiometry = 37 kJ/mol of formula units; volume = 25.622 A^3/atom
1.0
8.760 0.000 0.000
0.000 8.760 0.000
0.000 0.000 3.339
Cs In Cu
2 4 4
direct
0.000 0.000 0.000
0.500 0.500 0.000
0.134 0.366 0.500
0.366 0.866 0.500
0.634 0.134 0.500
0.866 0.634 0.500
0.128 0.628 0.000
0.372 0.128 0.000
0.628 0.872 0.000
0.872 0.372 0.000



# 3
CsInCu3 (PBE, relaxed); DFT total energy = -1.595 eV per atom; calculated formation energy = 1581.4 meV per atom; energy above the lowest structure with this stoichiometry = 538 kJ/mol of formula units; volume = 34.277 A^3/atom
1.0
5.555 0.000 0.000
0.000 5.555 0.000
0.000 0.000 5.555
Cs In Cu
1 1 3
direct
0.000 0.000 0.000
0.500 0.500 0.500
0.000 0.000 0.500
0.000 0.500 0.000
0.500 0.000 0.000



# 4
CsKIn2Cu (PBE, relaxed); DFT total energy = -2.209 eV per atom; calculated formation energy = 95.3 meV per atom; volume = 35.000 A^3/atom
1.0
5.259 0.000 0.000
0.000 5.259 0.000
0.000 0.000 6.327
Cs K In Cu
1 1 2 1
direct
0.000 0.000 0.000
0.500 0.500 0.000
0.000 0.500 0.500
0.500 0.000 0.500
0.500 0.500 0.500